(1)
The following is a GGA-PBE calculation of a relaxed structure of PrYNbN3, from the Alexandria database.

Structure (extended XYZ):
```
12
Lattice="-0.533 -3.124 -1.182 5.030 0.771 -4.307 5.326 -3.571 7.040" Properties=species:S:1:pos:R:3 pbc="T T T"
N 7.530 -3.444 3.288
N 3.058 -3.854 1.549
N 4.628 -3.516 4.787
N 5.195 -2.409 -3.236
N 2.293 -2.481 -1.736
N 6.765 -2.071 0.002
Pr 7.643 -4.433 1.010
Pr 2.180 -1.492 0.541
Nb 6.176 -3.176 -1.650
Nb 3.647 -2.749 3.201
Y 3.803 -0.677 -2.346
Y 6.020 -5.248 3.898
```

VASP energy = -105.25 eV for the cell shown



(2)
The following is a GGA-PBE calculation of a relaxed structure of Pu3ThGe2, from the Alexandria database.

Structure (extended XYZ):
```
6
Lattice="-5.027 0.684 -0.547 1.765 -3.261 3.506 0.176 4.759 4.339" Properties=species:S:1:pos:R:3 pbc="T T T"
Pu -0.370 1.551 5.344
Pu 0.088 2.379 2.169
Pu -2.717 0.630 1.954
Ge -2.629 2.994 4.109
Ge -0.457 -0.812 3.189
Th 0.000 0.000 0.000
```

VASP energy = -61.90 eV for the cell shown
DFT formation energy = -2.25 eV per formula unit
Energy above the lowest structure with this stoichiometry = 0.000 eV per atom



(3)
The following is a GGA-PBE calculation of a relaxed structure of CdW2Br, from the Alexandria database.

Structure (extended XYZ):
```
4
Lattice="5.099 0.000 0.000 0.000 3.338 0.007 0.000 -0.769 5.169" Properties=species:S:1:pos:R:3 pbc="T T T"
Br 2.549 0.642 1.294
Cd 2.549 1.927 3.882
W 0.000 -0.529 4.764
W 0.000 1.044 2.992
```

VASP energy = -24.70 eV for the cell shown
Energy above the lowest structure with this stoichiometry = 0.563 eV per atom



(4)
The following is a GGA-PBE calculation of a relaxed structure of Be2AuCl, from the Alexandria database.

Structure (extended XYZ):
```
4
Lattice="3.533 -0.046 0.000 -2.358 2.632 0.000 0.000 0.000 7.461" Properties=species:S:1:pos:R:3 pbc="T T T"
Be 0.000 0.000 3.755
Be 0.000 0.000 7.437
Cl 0.588 1.293 1.865
Au 0.588 1.293 5.596
```

VASP energy = -11.78 eV for the cell shown
Energy above the lowest structure with this stoichiometry = 0.396 eV per atom



(5)
The following is a GGA-PBE calculation of a relaxed structure of ScCu2, from the Alexandria database.

Structure (extended XYZ):
```
3
Lattice="-3.426 1.913 -1.803 -3.525 -2.315 -0.929 -3.617 0.559 2.293" Properties=species:S:1:pos:R:3 pbc="T T T"
Sc 0.000 0.000 0.000
Cu -7.927 0.117 -0.330
Cu -2.642 0.039 -0.110
```

VASP energy = -13.55 eV for the cell shown
DFT formation energy = 0.97 eV per formula unit



(6)
The following is a GGA-PBE calculation of a relaxed structure of MnTl4, from the Alexandria database.

Structure (extended XYZ):
```
5
Lattice="-3.954 -3.469 -2.570 0.575 2.026 5.463 -1.250 5.025 -2.733" Properties=species:S:1:pos:R:3 pbc="T T T"
Mn 0.000 0.000 0.000
Tl -1.352 1.172 2.786
Tl -1.355 3.126 -0.022
Tl -3.277 2.409 -2.626
Tl -3.275 0.455 0.183
```

VASP energy = -16.99 eV for the cell shown
DFT formation energy = 1.65 eV per formula unit
Energy above the lowest structure with this stoichiometry = 0.029 eV per atom



(7)
The following is a GGA-PBE calculation of a relaxed structure of Dy6SnHg2, from the Alexandria database.

Structure (extended XYZ):
```
18
Lattice="8.832 -0.217 -0.383 -3.547 8.091 0.383 -3.161 -3.588 7.438" Properties=species:S:1:pos:R:3 pbc="T T T"
Dy 5.076 -1.077 2.172
Dy -0.473 2.733 6.105
Dy 2.579 3.979 4.230
Dy 2.596 1.552 1.333
Dy 4.832 4.884 1.333
Dy -2.709 -0.598 6.105
Dy -4.032 2.706 7.377
Dy 2.750 0.484 4.883
Dy -0.456 0.306 3.207
Dy 6.155 1.579 0.061
Dy -2.953 5.362 5.266
Dy -0.627 3.802 2.555
Hg 0.353 -0.237 6.421
Hg 1.939 -1.302 2.413
Hg 3.731 -2.504 4.642
Hg 1.770 4.522 1.017
Sn 0.000 0.000 0.000
Sn -3.354 2.251 3.911
```

VASP energy = -70.54 eV for the cell shown
DFT formation energy = -3.05 eV per formula unit



(8)
The following is a GGA-PBE calculation of a relaxed structure of TmPu2Si3Pt4, from the Alexandria database.

Structure (extended XYZ):
```
10
Lattice="-0.727 2.421 3.317 -0.726 -3.391 2.316 10.689 -0.460 2.678" Properties=species:S:1:pos:R:3 pbc="T T T"
Pu 7.837 -2.049 3.212
Pu 2.126 1.103 2.282
Pt -0.727 -0.485 2.817
Pt 3.264 -1.852 2.067
Pt 0.000 0.000 0.000
Pt 6.699 0.906 3.428
Si 0.944 -1.752 1.485
Si 5.344 -0.230 1.339
Si 9.018 0.806 4.009
Tm 4.618 -0.715 4.155
```

VASP energy = -82.38 eV for the cell shown



(9)
The following is a GGA-PBE calculation of a relaxed structure of Cd2OsRu, from the Alexandria database.

Structure (extended XYZ):
```
4
Lattice="-0.476 -4.724 -0.788 2.225 -0.493 1.612 -2.729 -0.427 4.208" Properties=species:S:1:pos:R:3 pbc="T T T"
Cd -2.725 -0.427 4.202
Cd -0.256 -0.461 2.915
Ru -0.616 -3.052 3.971
Os -0.364 -2.592 1.061
```

VASP energy = -19.87 eV for the cell shown
DFT formation energy = 2.47 eV per formula unit
Energy above the lowest structure with this stoichiometry = 0.445 eV per atom



(10)
The following is a GGA-PBE calculation of a relaxed structure of KSm2TcO8, from the Alexandria database.

Structure (extended XYZ):
```
12
Lattice="-2.789 4.419 0.324 -3.641 -2.435 -0.501 -2.134 -1.898 6.956" Properties=species:S:1:pos:R:3 pbc="T T T"
O -4.913 -0.357 3.252
O -2.912 -2.238 5.277
O -1.689 0.258 0.756
O -2.752 2.508 0.804
O -3.650 0.443 3.527
O -5.651 2.324 1.502
O -6.874 -0.172 6.022
O -5.811 -2.422 5.975
Sm -4.087 0.419 1.221
Sm -4.476 -0.333 5.557
K -1.067 -0.949 3.478
Tc 0.000 0.000 0.000
```

VASP energy = -85.51 eV for the cell shown



(11)
The following is a GGA-PBE calculation of a relaxed structure of VTeCl3, from the Alexandria database.

Structure (extended XYZ):
```
5
Lattice="5.464 0.000 0.000 0.000 5.464 0.000 0.000 0.000 5.464" Properties=species:S:1:pos:R:3 pbc="T T T"
V 2.732 2.732 2.732
Cl 0.000 2.732 0.000
Cl 0.000 0.000 2.732
Cl 2.732 0.000 0.000
Te 0.000 0.000 0.000
```

VASP energy = -15.61 eV for the cell shown
Energy above the lowest structure with this stoichiometry = 0.800 eV per atom



(12)
The following is a GGA-PBE calculation of a relaxed structure of CaTh2MnN5, from the Alexandria database.

Structure (extended XYZ):
```
18
Lattice="6.873 0.000 0.000 0.000 6.873 0.000 -3.436 -3.436 5.491" Properties=species:S:1:pos:R:3 pbc="T T T"
N -0.950 4.386 3.898
N 2.486 -0.950 3.898
N 0.000 0.000 0.000
N -0.950 2.486 1.593
N 4.386 0.950 3.898
N 4.386 -0.950 1.593
N 3.436 3.436 0.000
N 2.486 0.950 1.593
N 0.950 2.486 3.898
N 0.950 4.386 1.593
Mn 3.436 0.000 2.746
Mn 0.000 3.436 2.746
Ca 3.436 3.436 2.746
Ca 0.000 0.000 2.746
Th 2.191 5.628 0.000
Th 5.628 4.681 0.000
Th 4.681 1.245 0.000
Th 1.245 2.191 0.000
```

VASP energy = -155.35 eV for the cell shown



(13)
The following is a GGA-PBE calculation of a relaxed structure of SmSb2Pd8, from the Alexandria database.

Structure (extended XYZ):
```
11
Lattice="4.729 -0.230 -0.345 -1.123 7.057 -0.280 -1.123 -2.976 6.405" Properties=species:S:1:pos:R:3 pbc="T T T"
Pd 0.174 2.382 3.575
Pd 2.398 1.858 5.421
Pd 0.086 -0.435 1.978
Pd 2.310 1.469 2.205
Pd 2.398 4.287 3.803
Pd 0.086 1.993 0.360
Pd 1.242 -0.743 4.668
Pd 1.242 4.594 1.112
Sb -1.123 3.884 1.835
Sb -1.123 0.197 4.291
Sm 2.365 -0.115 -0.172
```

VASP energy = -59.48 eV for the cell shown



(14)
The following is a GGA-PBE calculation of a relaxed structure of CuTc2BiO8, from the Alexandria database.

Structure (extended XYZ):
```
12
Lattice="-3.449 -2.103 -3.575 -2.052 -5.591 1.199 -6.265 -1.718 2.985" Properties=species:S:1:pos:R:3 pbc="T T T"
O -3.347 -3.098 0.982
O -5.704 -7.131 -0.415
O -4.032 -6.112 1.318
O -7.734 -3.300 -0.710
O -7.499 -4.933 1.996
O -6.063 -2.281 1.023
O -4.267 -4.479 -1.388
O -8.419 -6.314 -0.374
Bi -5.883 -4.706 0.304
Tc -2.564 -2.203 -0.301
Tc -9.203 -7.209 0.909
Cu 0.000 0.000 0.000
```

VASP energy = -81.17 eV for the cell shown



(15)
The following is a GGA-PBE calculation of a relaxed structure of LaYIr, from the Alexandria database.

Structure (extended XYZ):
```
3
Lattice="4.925 0.000 0.000 2.463 4.266 0.000 2.463 1.422 4.022" Properties=species:S:1:pos:R:3 pbc="T T T"
La 0.000 0.000 0.000
Ir 2.463 1.422 1.005
Y 4.925 2.844 2.011
```

VASP energy = -22.01 eV for the cell shown
DFT formation energy = -1.76 eV per formula unit
Energy above the lowest structure with this stoichiometry = 0.033 eV per atom



(16)
The following is a GGA-PBE calculation of a relaxed structure of SrTe2Au2, from the Alexandria database.

Structure (extended XYZ):
```
5
Lattice="-3.878 1.208 1.297 -1.579 -3.774 -1.204 -1.298 -4.074 6.924" Properties=species:S:1:pos:R:3 pbc="T T T"
Au -3.952 -2.074 4.134
Au -2.803 -4.565 2.883
Sr 0.000 0.000 0.000
Te -2.397 -1.929 1.638
Te -4.358 -4.711 5.379
```

VASP energy = -17.19 eV for the cell shown



(17)
The following is a GGA-PBE calculation of a relaxed structure of AcNd6Ho3, from the Alexandria database.

Structure (extended XYZ):
```
20
Lattice="-2.051 2.308 -2.056 -2.623 -9.605 -8.164 -12.229 -4.725 6.892" Properties=species:S:1:pos:R:3 pbc="T T T"
Nd -8.106 -5.793 -0.090
Nd -13.306 -9.605 0.816
Nd -3.744 -2.089 -0.285
Nd -8.796 -6.230 -3.239
Nd -9.566 -9.569 -2.873
Nd -10.509 -3.794 1.203
Nd -14.935 -12.486 -0.792
Nd -7.336 -2.454 -0.456
Nd -3.597 -2.418 -4.145
Nd -1.967 0.463 -2.537
Nd -13.159 -9.933 -3.045
Nd -6.394 -8.228 -4.532
Ho -11.614 -6.862 -1.139
Ho -7.862 -2.587 3.264
Ho -5.289 -5.160 -2.191
Ho -10.682 -3.880 4.626
Ho -6.220 -8.143 -7.955
Ho -9.040 -9.435 -6.593
Ac -4.884 -5.201 -5.987
Ac -12.019 -6.821 2.657
```

VASP energy = -91.46 eV for the cell shown
DFT formation energy = 0.72 eV per formula unit
Energy above the lowest structure with this stoichiometry = 0.000 eV per atom



(18)
The following is a GGA-PBE calculation of a relaxed structure of KPmIO6, from the Alexandria database.

Structure (extended XYZ):
```
18
Lattice="-2.493 5.289 0.666 -2.044 -3.724 -4.072 -6.968 -4.211 7.350" Properties=species:S:1:pos:R:3 pbc="T T T"
O -5.978 1.322 0.794
O -2.202 1.322 1.150
O -7.635 -3.237 4.795
O -4.125 3.026 0.302
O -9.304 -3.969 2.794
O -3.870 0.591 -0.851
O -7.380 -5.672 3.642
O -7.346 -4.381 1.190
O -4.160 1.735 2.754
O -4.177 -0.606 1.397
O -5.527 -3.968 3.150
O -7.328 -2.041 2.548
Pm -3.936 -1.773 -0.655
Pm -7.570 -0.874 4.599
I -4.085 1.232 0.924
I -7.420 -3.878 3.020
K -3.484 -2.105 3.675
K 0.000 0.000 0.000
```

VASP energy = -98.67 eV for the cell shown



(19)
The following is a GGA-PBE calculation of a relaxed structure of La2Ga3Cu12Ag, from the Alexandria database.

Structure (extended XYZ):
```
18
Lattice="9.793 2.146 1.522 6.702 7.455 1.522 6.702 3.901 6.533" Properties=species:S:1:pos:R:3 pbc="T T T"
Cu 10.866 4.930 4.975
Cu 12.331 8.572 4.602
Cu 15.983 11.321 8.030
Cu 7.214 2.181 1.547
Cu 5.459 3.178 4.392
Cu 17.737 8.307 8.030
Cu 13.543 6.489 4.602
Cu 12.331 7.177 6.569
Cu 5.459 5.195 1.547
Cu 9.653 7.014 4.975
Cu 10.866 6.325 3.008
Cu 17.737 10.325 5.185
Ga 3.351 1.951 3.267
Ga 3.351 3.728 0.761
Ga 4.896 1.073 0.761
La 15.050 8.760 6.213
La 8.147 4.742 3.364
Ag 0.000 0.000 0.000
```

VASP energy = -69.33 eV for the cell shown
DFT formation energy = 1.61 eV per formula unit



(20)
The following is a GGA-PBE calculation of a relaxed structure of ScSnB3, from the Alexandria database.

Structure (extended XYZ):
```
5
Lattice="-3.012 3.224 0.870 -1.784 -2.544 3.251 2.822 1.832 2.983" Properties=species:S:1:pos:R:3 pbc="T T T"
Sc 0.000 0.000 0.000
B -0.892 -1.272 1.625
B 1.411 0.916 1.492
B -1.506 1.612 0.435
Sn -0.987 1.256 3.552
```

VASP energy = -21.42 eV for the cell shown
DFT formation energy = 8.95 eV per formula unit
Energy above the lowest structure with this stoichiometry = 0.075 eV per atom